(1)
A relaxed Pr3Er3Tm8 crystal. Source: Alexandria, functional PBE.

It has space group Immm (No. 71), with a = 5.601 Å, b = 10.753 Å, c = 14.976 Å, α = 90.00°, β = 90.00° and γ = 90.00°. The asymmetric unit holds Pr at (0.000, 0.000, 0.000), Pr at (0.000, 0.500, 0.315), Er at (0.000, 0.000, 0.500), Er at (0.000, 0.295, 0.500), Tm at (0.000, 0.161, 0.280) and Tm at (0.000, 0.343, 0.102).

The total magnetization comes out at 0.00 μB per formula unit. Its formation energy is 2.5 kcal/mol of atoms. Its crystal system is orthorhombic. As for the total energy: -62.25 eV/f.u.

(2)
A relaxed NpTlN2 crystal. Source: Alexandria, functional PBE.

It has space group R-3m (No. 166, hexagonal axes), with a = 3.4823 Å, b = 3.4823 Å, c = 22.3983 Å, α = 90.00°, β = 90.00° and γ = 120.00°. The asymmetric unit holds Np at (0.0000, 0.0000, 0.0000), Tl at (0.0000, 0.0000, 0.5000) and N at (0.0000, 0.0000, 0.3734).

The calculation puts the formation energy from raw total energies at -211 kJ/mol of formula units. The total magnetization comes out at 1.43 μB per formula unit. Its crystal system is trigonal. As for the total energy: -34.15 eV/f.u.

(3)
A relaxed KTl2GeAu crystal. Source: Alexandria, functional PBE.

It has space group P4/mmm (No. 123), with a = 5.659 Å, b = 5.659 Å, c = 5.131 Å, α = 90.00°, β = 90.00° and γ = 90.00°. The asymmetric unit holds K at (0.000, 0.000, 0.000), Tl at (0.000, 0.500, 0.500), Ge at (0.500, 0.500, 0.500) and Au at (0.500, 0.500, 0.000).

The total magnetization comes out at 0.00 μB per formula unit. Its formation energy is 0.9 kcal/mol of atoms. Its crystal system is tetragonal. As for the total energy: -13.53 eV/f.u.

(4)
A relaxed NaSc2OsO8 crystal. Source: Alexandria, functional PBE.

It has space group P2/m (No. 10), with a = 4.775 Å, b = 6.706 Å, c = 4.830 Å, α = 90.00°, β = 90.76° and γ = 90.00°. The asymmetric unit holds Na at (0.000, 0.000, 0.000), Sc at (0.500, 0.255, 0.500), Os at (0.000, 0.500, 0.000), O at (0.196, 0.305, 0.815), O at (0.282, 0.500, 0.291) and O at (0.327, 0.000, 0.347).

The calculation puts the formation energy from raw total energies at -2221 kJ/mol of formula units. The total magnetization comes out at 1.02 μB per formula unit. Its crystal system is monoclinic. As for the total energy: -87.89 eV/f.u.

(5)
A relaxed BeAgI2Cl crystal. Source: Alexandria, functional PBE.

It has space group P4/mmm (No. 123), with a = 5.640 Å, b = 5.640 Å, c = 4.635 Å, α = 90.00°, β = 90.00° and γ = 90.00°. The asymmetric unit holds Be at (0.000, 0.000, 0.000), Ag at (0.000, 0.000, 0.500), I at (0.000, 0.500, 0.500) and Cl at (0.500, 0.500, 0.000).

The calculation puts the formation energy from raw total energies at 275 kJ/mol of formula units. The total magnetization comes out at 0.00 μB per formula unit. Its crystal system is tetragonal. As for the total energy: -8.68 eV/f.u.

(6)
A relaxed Na2CrTe crystal. Source: Alexandria, functional PBE.

It has space group I-42d (No. 122), with a = 9.052 Å, b = 9.052 Å, c = 5.808 Å, α = 90.00°, β = 90.00° and γ = 90.00°. The asymmetric unit holds Na at (0.213, 0.250, 0.125), Cr at (0.000, 0.000, 0.500) and Te at (0.000, 0.000, 0.000).

The calculation puts the formation energy from raw total energies at 67 kJ/mol of formula units. The total magnetization comes out at 5.21 μB per formula unit. Its crystal system is tetragonal. As for the total energy: -14.71 eV/f.u.

(7)
A relaxed LaPaRe crystal. Source: Alexandria, functional PBE.

It has space group R-3m (No. 166, hexagonal axes), with a = 4.6213 Å, b = 4.6213 Å, c = 27.1935 Å, α = 90.00°, β = 90.00° and γ = 120.00°. The asymmetric unit holds La at (0.0000, 0.0000, 0.1246), Pa at (0.0000, 0.0000, 0.3740) and Re at (0.0000, 0.0000, 0.2688).

The total magnetization comes out at 0.00 μB per formula unit. Its formation energy is 2.9 kcal/mol of atoms. Its crystal system is trigonal. The excess energy over the best structure of this formula in the dataset comes out at 51 meV/atom. As for the total energy: -26.50 eV/f.u.

(8)
A relaxed LiCrAs crystal. Source: Alexandria, functional PBE.

It has space group Fmm2 (No. 42), with a = 3.280 Å, b = 4.454 Å, c = 12.345 Å, α = 90.00°, β = 90.00° and γ = 90.00°. The asymmetric unit holds Li at (0.000, 0.000, 0.000), Cr at (0.000, 0.000, 0.323) and As at (0.000, 0.000, 0.683).

The total magnetization comes out at 0.00 μB per formula unit. Its formation energy is 5.1 kcal/mol of atoms. Its crystal system is orthorhombic. As for the total energy: -15.52 eV/f.u.